VASP calculation (PBE) on a relaxed structure of EuDyAgGe.

a = 7.335 Å, b = 7.335 Å, c = 7.335 Å
α = 90.00°, β = 90.00°, γ = 90.00°
Atoms (fractional coordinates):
Eu  0.000  0.000  0.000
Eu  0.000  0.500  0.500
Eu  0.500  0.000  0.500
Eu  0.500  0.500  0.000
Dy  0.000  0.000  0.500
Dy  0.000  0.500  0.000
Dy  0.500  0.000  0.000
Dy  0.500  0.500  0.500
Ag  0.250  0.250  0.250
Ag  0.250  0.750  0.750
Ag  0.750  0.250  0.750
Ag  0.750  0.750  0.250
Ge  0.250  0.250  0.750
Ge  0.250  0.750  0.250
Ge  0.750  0.250  0.250
Ge  0.750  0.750  0.750

Output
The space-group type is F-43m. The value obtained for the total moment is 28.923 μB per cell. As for the formation energy: -0.51 eV/atom.